[1]
The following is a DFT calculation (PBE-GGA) of CrSi3Ag after structural relaxation.

Cell: 4.4861 4.4861 4.4861 Å, 90.00 90.00 90.00°
Last column: nearest neighbours and their distance in Å.
Fractional coordinates of all 5 atoms:
Cr  0.0000  0.0000  0.0000  6 Si 2.24
Si  0.0000  0.5000  0.0000  2 Cr 2.24
Si  0.0000  0.0000  0.5000  2 Cr 2.24
Si  0.5000  0.0000  0.0000  2 Cr 2.24
Ag  0.5000  0.5000  0.5000  12 Si 3.17

**Energy above the most stable polymorph in this dataset**: 0 kJ/mol of formula units
**Crystal system**: cubic
**Calculated total energy**: -0.39073 Ry per atom
**Formation energy from raw total energies**: 0.43 eV/atom

[2]
The following is a DFT calculation (PBE-GGA) of CrSiAg2 after structural relaxation.

Cell: 4.4812 4.4812 4.4812 Å, 118.73 118.73 92.21°
Last column: nearest neighbours and their distance in Å.
Fractional coordinates of all 4 atoms:
Ag  0.0000  0.0000  0.0000  4 Ag 2.76, 4 Si 2.76
Ag  0.2500  0.7500  0.5000  4 Cr 2.76, 4 Ag 2.76
Cr  0.5000  0.5000  0.0000  4 Si 2.76, 4 Ag 2.76
Si  0.7500  0.2500  0.5000  4 Cr 2.76, 4 Ag 2.76

**Crystal system**: tetragonal
**Calculated total energy**: -0.35849 Ry per atom
**Formation energy from raw total energies**: 0.31 eV/atom

[3]
The following is a DFT calculation (PBE-GGA) of CrSi2Ag2 after structural relaxation.

Cell: 6.3826 6.3826 4.0906 Å, 90.00 90.00 90.00°
Last column: nearest neighbours and their distance in Å.
Fractional coordinates of all 10 atoms:
Cr  0.0000  0.0000  0.0000  4 Si 2.50
Cr  0.5000  0.5000  0.0000  4 Si 2.50
Si  0.3701  0.8701  0.0000  1 Si 2.35, 2 Cr 2.50, 2 Ag 2.62
Si  0.8701  0.6299  0.0000  1 Si 2.35, 2 Cr 2.50, 2 Ag 2.62
Si  0.6299  0.1299  0.0000  1 Si 2.35, 2 Cr 2.50, 2 Ag 2.62
Si  0.1299  0.3701  0.0000  1 Si 2.35, 2 Cr 2.50, 2 Ag 2.62
Ag  0.1888  0.6888  0.5000  6 Si 2.62-2.91
Ag  0.6888  0.8112  0.5000  6 Si 2.62-2.91
Ag  0.8112  0.3112  0.5000  6 Si 2.62-2.91
Ag  0.3112  0.1888  0.5000  6 Si 2.62-2.91

**Crystal system**: tetragonal
**Calculated total energy**: -0.36310 Ry per atom
**Formation energy from raw total energies**: 0.29 eV/atom

[4]
The following is a DFT calculation (PBE-GGA) of CrSiAg2 after structural relaxation.

Cell: 6.2228 6.2228 4.0554 Å, 70.94 70.94 27.35°
Last column: nearest neighbours and their distance in Å.
Fractional coordinates of all 4 atoms:
Ag  0.9430  0.9430  0.0572  2 Si 2.65, 6 Ag 2.82-2.94
Ag  0.5570  0.5570  0.4428  2 Si 2.65, 6 Ag 2.82-2.94
Cr  0.7500  0.7500  0.7500  4 Si 2.51
Si  0.2500  0.2500  0.2500  4 Cr 2.51, 4 Ag 2.65

**Crystal system**: orthorhombic
**Calculated total energy**: -0.36244 Ry per atom
**Formation energy from raw total energies**: 0.26 eV/atom

[5]
The following is a DFT calculation (PBE-GGA) of CrSiAg2 after structural relaxation.

Cell: 3.7435 2.8711 6.1543 Å, 76.48 90.00 90.00°
Last column: nearest neighbours and their distance in Å.
Fractional coordinates of all 4 atoms:
Ag  0.0000  0.8170  0.9935  2 Si 2.60, 6 Ag 2.84-2.87
Ag  0.5000  0.1830  0.2594  1 Si 2.59, 6 Ag 2.84-2.87
Cr  0.0000  0.5350  0.5542  4 Si 2.50
Si  0.5000  0.9650  0.6929  4 Cr 2.50, 3 Ag 2.59-2.60

**Crystal system**: orthorhombic
**Calculated total energy**: -0.36721 Ry per atom
**Formation energy from raw total energies**: 0.19 eV/atom

[6]
The following is a DFT calculation (PBE-GGA) of CrSiAg2 after structural relaxation.

Cell: 2.7061 2.7061 9.2545 Å, 90.00 90.00 108.99°
Last column: nearest neighbours and their distance in Å.
Fractional coordinates of all 4 atoms:
Ag  0.0000  0.0000  0.0040  4 Ag 2.71, 2 Cr 2.77, 2 Si 2.83
Ag  0.0000  0.0000  0.4960  4 Ag 2.71, 2 Cr 2.77, 2 Si 2.83
Cr  0.5000  0.5000  0.2500  4 Cr 2.71, 4 Ag 2.77
Si  0.5000  0.5000  0.7500  4 Si 2.71, 4 Ag 2.83

**Crystal system**: orthorhombic
**Calculated total energy**: -0.33773 Ry per atom
**Formation energy from raw total energies**: 0.59 eV/atom

[7]
The following is a DFT calculation (PBE-GGA) of CrSiAg2 after structural relaxation.

Cell: 4.9090 2.8740 4.6806 Å, 88.52 90.00 90.00°
Last column: nearest neighbours and their distance in Å.
Fractional coordinates of all 4 atoms:
Ag  0.0000  0.9813  0.9993  6 Ag 2.67-2.87, 2 Si 2.81, 2 Cr 2.84
Ag  0.0000  0.5187  0.5007  6 Ag 2.67-2.87, 2 Si 2.81, 2 Cr 2.84
Cr  0.5000  0.2500  0.2500  4 Si 2.71-2.78, 4 Ag 2.84, 2 Cr 2.87
Si  0.5000  0.7500  0.7500  4 Cr 2.71-2.78, 4 Ag 2.81, 2 Si 2.87

**Crystal system**: monoclinic
**Calculated total energy**: -0.35719 Ry per atom
**Formation energy from raw total energies**: 0.33 eV/atom

[8]
The following is a DFT calculation (PBE-GGA) of Cr4SiAg after structural relaxation.

Cell: 4.8058 4.8058 4.8058 Å, 60.00 60.00 60.00°
Last column: nearest neighbours and their distance in Å.
Fractional coordinates of all 6 atoms:
Cr  0.6257  0.6257  0.1228  6 Cr 2.39-2.42
Cr  0.6257  0.1228  0.6257  6 Cr 2.39-2.42
Cr  0.6257  0.6257  0.6257  6 Cr 2.39-2.42
Cr  0.1228  0.6257  0.6257  6 Cr 2.39-2.42
Si  0.2500  0.2500  0.2500  12 Cr 2.82, 4 Ag 2.94
Ag  0.0000  0.0000  0.0000  12 Cr 2.82, 4 Si 2.94

**Crystal system**: cubic
**Calculated total energy**: -0.53948 Ry per atom
**Formation energy from raw total energies**: 0.45 eV/atom

[9]
The following is a DFT calculation (PBE-GGA) of CrSiAg2 after structural relaxation.

Cell: 3.7672 3.7672 10.1686 Å, 79.33 79.33 90.00°
Last column: nearest neighbours and their distance in Å.
Fractional coordinates of all 8 atoms:
Cr  0.0000  0.0000  0.0000  4 Si 2.66, 4 Ag 2.80
Cr  0.7500  0.2500  0.5000  4 Si 2.66, 4 Ag 2.80
Si  0.5000  0.5000  0.0000  4 Cr 2.66, 4 Ag 2.79
Si  0.2500  0.7500  0.5000  4 Cr 2.66, 4 Ag 2.79
Ag  0.6222  0.1250  0.2500  4 Ag 2.65-2.68, 2 Si 2.79, 2 Cr 2.80
Ag  0.1278  0.6250  0.2500  4 Ag 2.65-2.68, 2 Si 2.79, 2 Cr 2.80
Ag  0.3750  0.3778  0.7500  4 Ag 2.65-2.68, 2 Si 2.79, 2 Cr 2.80
Ag  0.8750  0.8722  0.7500  4 Ag 2.65-2.68, 2 Si 2.79, 2 Cr 2.80

**Crystal system**: tetragonal
**Calculated total energy**: -0.34748 Ry per atom
**Formation energy from raw total energies**: 0.46 eV/atom

[10]
The following is a DFT calculation (PBE-GGA) of CrSiAg2 after structural relaxation.

Cell: 4.8804 4.8804 3.0683 Å, 90.00 90.00 112.27°
Last column: nearest neighbours and their distance in Å.
Fractional coordinates of all 4 atoms:
Ag  0.0000  0.0000  0.0000  2 Ag 2.72, 4 Cr 2.88, 4 Si 2.88
Ag  0.5000  0.5000  0.0000  2 Ag 2.72, 4 Si 2.88, 4 Cr 2.88
Cr  0.5000  0.0000  0.5000  2 Si 2.72, 8 Ag 2.88
Si  0.0000  0.5000  0.5000  2 Cr 2.72, 8 Ag 2.88

**Crystal system**: orthorhombic
**Calculated total energy**: -0.34858 Ry per atom
**Formation energy from raw total energies**: 0.44 eV/atom

[11]
The following is a DFT calculation (PBE-GGA) of CrSiAg2 after structural relaxation.

Cell: 2.8379 3.5342 6.4311 Å, 90.00 90.00 90.00°
Last column: nearest neighbours and their distance in Å.
Fractional coordinates of all 4 atoms:
Ag  0.0000  0.0000  0.9889  6 Ag 2.84-2.89, 1 Cr 2.85, 4 Si 2.94
Ag  0.5000  0.5000  0.2671  1 Si 2.77, 6 Ag 2.84-2.89, 4 Cr 2.89
Cr  0.0000  0.0000  0.5462  4 Si 2.47
Si  0.5000  0.5000  0.6978  4 Cr 2.47

**Crystal system**: orthorhombic
**Calculated total energy**: -0.36211 Ry per atom
**Formation energy from raw total energies**: 0.26 eV/atom

[12]
The following is a DFT calculation (PBE-GGA) of CrSi4Ag after structural relaxation.

Cell: 5.0569 5.0569 5.0569 Å, 60.00 60.00 60.00°
Last column: nearest neighbours and their distance in Å.
Fractional coordinates of all 6 atoms:
Cr  0.0000  0.0000  0.0000  12 Si 2.96, 4 Ag 3.10
Si  0.8756  0.3748  0.3748  6 Si 2.52-2.53
Si  0.3748  0.3748  0.8756  6 Si 2.52-2.53
Si  0.3748  0.8756  0.3748  6 Si 2.52-2.53
Si  0.3748  0.3748  0.3748  6 Si 2.52-2.53
Ag  0.7500  0.7500  0.7500  12 Si 2.97, 4 Cr 3.10

**Crystal system**: cubic
**Calculated total energy**: -0.38364 Ry per atom
**Formation energy from raw total energies**: 0.47 eV/atom

[13]
The following is a DFT calculation (PBE-GGA) of CrSiAg2 after structural relaxation.

Cell: 3.8532 3.8532 4.3101 Å, 90.00 90.00 90.00°
Last column: nearest neighbours and their distance in Å.
Fractional coordinates of all 4 atoms:
Ag  0.0000  0.0000  0.0000  4 Ag 2.72, 4 Cr 2.89, 4 Si 2.89
Ag  0.5000  0.5000  0.0000  4 Ag 2.72, 4 Cr 2.89, 4 Si 2.89
Cr  0.5000  0.0000  0.5000  4 Si 2.72, 8 Ag 2.89
Si  0.0000  0.5000  0.5000  4 Cr 2.72, 8 Ag 2.89

**Crystal system**: tetragonal
**Calculated total energy**: -0.35961 Ry per atom
**Formation energy from raw total energies**: 0.29 eV/atom

[14]
The following is a DFT calculation (PBE-GGA) of CrSiAg2 after structural relaxation.

Cell: 9.0294 9.0294 9.0294 Å, 18.15 18.15 18.15°
Last column: nearest neighbours and their distance in Å.
Fractional coordinates of all 4 atoms:
Ag  0.0055  0.0055  0.0055  3 Si 2.78, 9 Ag 2.85-2.98
Ag  0.2454  0.2454  0.2454  3 Cr 2.82, 9 Ag 2.85-2.98
Cr  0.4926  0.4926  0.4926  3 Si 2.48
Si  0.7565  0.7565  0.7565  3 Cr 2.48

**Crystal system**: trigonal
**Calculated total energy**: -0.36072 Ry per atom
**Formation energy from raw total energies**: 0.28 eV/atom